VASP calculation (PBE) on OsSe after structural relaxation.

CIF file:
```
data_OsSe
_chemical_formula_sum 'Os6 Se6'
_cell_length_a 10.625
_cell_length_b 3.854
_cell_length_c 5.400
_cell_angle_alpha 90.00
_cell_angle_beta 90.00
_cell_angle_gamma 90.00
_space_group_name_H-M_alt 'P m n 21'
_space_group_IT_number 31
_space_group_name_Hall 'P 2ac -2'
loop_
_atom_site_label
_atom_site_type_symbol
_atom_site_fract_x
_atom_site_fract_y
_atom_site_fract_z
_atom_site_occupancy
Os1 Os 0.000 0.054 0.000 1
Os2 Os 0.209 0.557 0.936 1
Se1 Se 0.000 0.549 0.725 1
Se2 Se 0.167 0.953 0.299 1
```

Computed properties:
total energy: -6.875 eV per atom
uncorrected formation energy: 0.482 eV/atom

=====

VASP calculation (PBE) on SrNdCdHg after structural relaxation.

CIF file:
```
data_SrNdCdHg
_chemical_formula_sum 'Sr1 Nd1 Cd1 Hg1'
_cell_length_a 3.938
_cell_length_b 3.938
_cell_length_c 7.864
_cell_angle_alpha 90.00
_cell_angle_beta 90.00
_cell_angle_gamma 90.00
_space_group_name_H-M_alt 'P 4 m m'
_space_group_IT_number 99
_space_group_name_Hall 'P 4 -2'
loop_
_atom_site_label
_atom_site_type_symbol
_atom_site_fract_x
_atom_site_fract_y
_atom_site_fract_z
_atom_site_occupancy
Sr1 Sr 0.000 0.000 0.000 1
Nd1 Nd 0.000 0.000 0.493 1
Cd1 Cd 0.500 0.500 0.725 1
Hg1 Hg 0.500 0.500 0.269 1
```

Computed properties:
energy of formation: -39.61 kJ per mole of atoms
total energy: -2.327 eV per atom
excess energy over the best structure of this formula in the dataset: 0.0 meV/atom

=====

VASP calculation (PBE) on BeSb2Ru after structural relaxation.

CIF file:
```
data_BeSb2Ru
_chemical_formula_sum 'Be1 Sb2 Ru1'
_cell_length_a 4.582
_cell_length_b 4.582
_cell_length_c 3.437
_cell_angle_alpha 90.00
_cell_angle_beta 90.00
_cell_angle_gamma 90.00
_space_group_name_H-M_alt 'P 4/m m m'
_space_group_IT_number 123
_space_group_name_Hall '-P 4 2'
loop_
_atom_site_label
_atom_site_type_symbol
_atom_site_fract_x
_atom_site_fract_y
_atom_site_fract_z
_atom_site_occupancy
Be1 Be 0.000 0.000 0.000 1
Sb1 Sb 0.000 0.500 0.500 1
Ru1 Ru 0.500 0.500 0.000 1
```

Computed properties:
total energy: -4.828 eV per atom
excess energy over the best structure of this formula in the dataset: 552.3 meV/atom
uncorrected formation energy: 0.484 eV/atom

=====

VASP calculation (PBE) on Rb2MgTeO after structural relaxation.

CIF file:
```
data_Rb2MgTeO
_chemical_formula_sum 'Rb2 Mg1 Te1 O1'
_cell_length_a 6.978
_cell_length_b 6.978
_cell_length_c 5.509
_cell_angle_alpha 90.00
_cell_angle_beta 90.00
_cell_angle_gamma 90.00
_space_group_name_H-M_alt 'P 4/m m m'
_space_group_IT_number 123
_space_group_name_Hall '-P 4 2'
loop_
_atom_site_label
_atom_site_type_symbol
_atom_site_fract_x
_atom_site_fract_y
_atom_site_fract_z
_atom_site_occupancy
Rb1 Rb 0.000 0.500 0.000 1
Mg1 Mg 0.000 0.000 0.500 1
Te1 Te 0.000 0.000 0.000 1
O1 O 0.500 0.500 0.500 1
```

Computed properties:
total energy: -2.486 eV per atom
uncorrected formation energy: -0.160 eV/atom

=====

VASP calculation (PBE) on Rb2MgPdBr6 after structural relaxation.

CIF file:
```
data_Rb2MgPdBr6
_chemical_formula_sum 'Rb4 Mg2 Pd2 Br12'
_cell_length_a 7.593
_cell_length_b 7.593
_cell_length_c 10.729
_cell_angle_alpha 90.00
_cell_angle_beta 90.00
_cell_angle_gamma 90.00
_space_group_name_H-M_alt 'I 4/m m m'
_space_group_IT_number 139
_space_group_name_Hall '-I 4 2'
loop_
_atom_site_label
_atom_site_type_symbol
_atom_site_fract_x
_atom_site_fract_y
_atom_site_fract_z
_atom_site_occupancy
Rb1 Rb 0.000 0.500 0.250 1
Mg1 Mg 0.000 0.000 0.000 1
Pd1 Pd 0.000 0.000 0.500 1
Br1 Br 0.000 0.000 0.252 1
Br2 Br 0.249 0.249 0.500 1
```

Computed properties:
total energy: -3.021 eV per atom
excess energy over the best structure of this formula in the dataset: 32.9 meV/atom
uncorrected formation energy: -1.145 eV/atom

=====

VASP calculation (PBE) on Sc2Ti2Re after structural relaxation.

CIF file:
```
data_Sc2Ti2Re
_chemical_formula_sum 'Sc4 Ti4 Re2'
_cell_length_a 6.390
_cell_length_b 6.390
_cell_length_c 4.823
_cell_angle_alpha 90.00
_cell_angle_beta 90.00
_cell_angle_gamma 90.00
_space_group_name_H-M_alt 'P 4/m b m'
_space_group_IT_number 127
_space_group_name_Hall '-P 4 2ab'
loop_
_atom_site_label
_atom_site_type_symbol
_atom_site_fract_x
_atom_site_fract_y
_atom_site_fract_z
_atom_site_occupancy
Sc1 Sc 0.173 0.327 0.000 1
Ti1 Ti 0.146 0.646 0.500 1
Re1 Re 0.000 0.000 0.500 1
```

Computed properties:
energy of formation: 5.86 kJ per mole of atoms
total energy: -8.119 eV per atom

=====

Question: Among the records above, which one has the highest total energy?
Answer: SrNdCdHg

=====

Question: Among the records above, which one has the lowest total energy?
Answer: Sc2Ti2Re

=====

Repeat the first record exactly.
VASP calculation (PBE) on OsSe after structural relaxation.

CIF file:
```
data_OsSe
_chemical_formula_sum 'Os6 Se6'
_cell_length_a 10.625
_cell_length_b 3.854
_cell_length_c 5.400
_cell_angle_alpha 90.00
_cell_angle_beta 90.00
_cell_angle_gamma 90.00
_space_group_name_H-M_alt 'P m n 21'
_space_group_IT_number 31
_space_group_name_Hall 'P 2ac -2'
loop_
_atom_site_label
_atom_site_type_symbol
_atom_site_fract_x
_atom_site_fract_y
_atom_site_fract_z
_atom_site_occupancy
Os1 Os 0.000 0.054 0.000 1
Os2 Os 0.209 0.557 0.936 1
Se1 Se 0.000 0.549 0.725 1
Se2 Se 0.167 0.953 0.299 1
```

Computed properties:
total energy: -6.875 eV per atom
uncorrected formation energy: 0.482 eV/atom

=====

Question: Number 6 is which compound?
Answer: Sc2Ti2Re